P2AuOF | GGA-PBE | optimized geometry

Results
Raw formation energy: 0.868 eV per atom
Fermi-level density of states: 5.110 states/eV/f.u.
Excess energy over the best structure of this formula in the dataset: 0.0215 eV/atom
Calculated volume: 95 Å³/f.u.
Density: 5.1 g cm⁻³
Spin magnetization: 0.85 μB/cell

Cell lengths 4.832, 4.832, 4.060 Å; angles 90.00, 90.00, 90.00 degrees
Space group P4/mmm (No. 123)
Asymmetric unit:
P 0.000 0.500 0.000 [2 per cell]
Au 0.000 0.000 0.000 [1 per cell]
O 0.000 0.000 0.500 [1 per cell]
F 0.500 0.500 0.500 [1 per cell]